{
  "formula": "LiAs2W",
  "functional": "PBE",
  "state": "optimized geometry",
  "lattice": [[4.5814, -1.6468, 0.0000], [4.5814, 1.6468, 0.0000], [-0.8591, 0.0000, 4.3029]],
  "species": ["Li", "As", "As", "W"],
  "fractional_positions": [[0.0000, 0.0000, 0.0000], [0.5137, 0.5137, 0.5500], [0.7338, 0.7338, 0.0858], [0.2296, 0.2296, 0.5547]],
  "dft_energy_ev_per_atom": -6.0215,
  "ef_ev_per_fu": 0.08,
  "de_polymorph_ev_per_atom": 0.210,
  "crystal_system": "monoclinic",
  "space_group": "Cm, No. 8"
}



{
  "formula": "K8Rb2Na",
  "functional": "PBE",
  "state": "optimized geometry",
  "lattice": [[11.7510, -3.3771, 0.0000], [11.7510, 3.3771, 0.0000], [-2.8320, 0.0000, 9.9205]],
  "species": ["K", "K", "K", "K", "K", "K", "K", "K", "Rb", "Rb", "Na"],
  "fractional_positions": [[0.0381, 0.0381, 0.2318], [0.1320, 0.1320, 0.6611], [0.3287, 0.3287, 0.5961], [0.4156, 0.4156, 0.0718], [0.5844, 0.5844, 0.9282], [0.6713, 0.6713, 0.4039], [0.8680, 0.8680, 0.3389], [0.9619, 0.9619, 0.7682], [0.2222, 0.2222, 0.1388], [0.7778, 0.7778, 0.8612], [0.5000, 0.5000, 0.5000]],
  "dft_energy_ev_per_atom": -1.0829,
  "ef_ev_per_fu": 0.12,
  "de_polymorph_ev_per_atom": 0.000,
  "crystal_system": "monoclinic",
  "space_group": "C2/m, No. 12"
}



{
  "formula": "Pm5Si4Sn",
  "functional": "PBE",
  "state": "optimized geometry",
  "lattice": [[3.3870, 0.0000, 0.0000], [0.0000, 3.3870, 0.0000], [0.0000, 0.0000, 21.0578]],
  "species": ["Pm", "Pm", "Pm", "Pm", "Pm", "Si", "Si", "Si", "Si", "Sn"],
  "fractional_positions": [[0.0000, 0.0000, 0.0000], [0.0000, 0.0000, 0.1946], [0.0000, 0.0000, 0.3843], [0.0000, 0.0000, 0.6157], [0.0000, 0.0000, 0.8054], [0.5000, 0.5000, 0.0971], [0.5000, 0.5000, 0.2915], [0.5000, 0.5000, 0.7085], [0.5000, 0.5000, 0.9029], [0.5000, 0.5000, 0.5000]],
  "dft_energy_ev_per_atom": -5.4419,
  "formation_energy_uncorrected_mev_per_atom": -497,
  "crystal_system": "tetragonal",
  "space_group": "P4/mmm, No. 123"
}



{
  "formula": "MgBr2Cl",
  "functional": "PBE",
  "state": "optimized geometry",
  "lattice": [[2.6355, -4.7353, 0.0000], [2.6355, 4.7353, 0.0000], [-2.6129, 0.0000, 4.6443]],
  "species": ["Mg", "Br", "Br", "Cl"],
  "fractional_positions": [[0.0000, 0.0000, 0.0000], [0.0000, 0.5000, 0.5000], [0.5000, 0.0000, 0.5000], [0.5000, 0.5000, 0.0000]],
  "dft_energy_ev_per_atom": -2.2615,
  "formation_energy_uncorrected_mev_per_atom": -565,
  "de_polymorph_ev_per_atom": 0.425,
  "crystal_system": "monoclinic",
  "space_group": "C2/m, No. 12"
}